Model 1:
First-principles (PBE) data for a relaxed structure of Dy3Hf3Sb2Os, as listed in OQMD via LeMat-Bulk.

Computed properties:
The value obtained for the total magnetization is 0.03 μB per cell. As for the crystal system: hexagonal.

The structure in CIF format:
```
data_Dy3Hf3Sb2Os
_symmetry_space_group_name_H-M 'P -6 2 m'
_symmetry_Int_Tables_number 189
_symmetry_space_group_name_Hall 'P -6 -2'
_cell_length_a 8.0529
_cell_length_b 8.0529
_cell_length_c 3.7973
_cell_angle_alpha 90.00
_cell_angle_beta 90.00
_cell_angle_gamma 120.00
loop_
_atom_site_label
_atom_site_type_symbol
_atom_site_fract_x
_atom_site_fract_y
_atom_site_fract_z
Dy1 Dy 0.0000 0.2519 0.0000
Hf1 Hf 0.0000 0.6086 0.5000
Sb1 Sb 0.3333 0.6667 0.0000
Os1 Os 0.0000 0.0000 0.5000
```

Model 2:
First-principles (PBE) data for a relaxed structure of Dy3Hf3Sb2Os, as listed in OQMD via LeMat-Bulk.

Computed properties:
The value obtained for the total magnetization is 0.01 μB per cell. As for the crystal system: hexagonal.

The structure in CIF format:
```
data_Dy3Hf3Sb2Os
_symmetry_space_group_name_H-M 'P -6 2 m'
_symmetry_Int_Tables_number 189
_symmetry_space_group_name_Hall 'P -6 -2'
_cell_length_a 7.8998
_cell_length_b 7.8998
_cell_length_c 4.0492
_cell_angle_alpha 90.00
_cell_angle_beta 90.00
_cell_angle_gamma 120.00
loop_
_atom_site_label
_atom_site_type_symbol
_atom_site_fract_x
_atom_site_fract_y
_atom_site_fract_z
Dy1 Dy 0.0000 0.6005 0.0000
Hf1 Hf 0.0000 0.2300 0.5000
Sb1 Sb 0.3333 0.6667 0.5000
Os1 Os 0.0000 0.0000 0.0000
```

Energy ordering: model 2 at the bottom, the next structure 299 meV/atom above.

Model 1:
First-principles (PBE) data for a relaxed structure of DyHfSi2, as listed in OQMD via LeMat-Bulk.

Computed properties:
The value obtained for the total magnetization is 0.03 μB per cell. As for the crystal system: orthorhombic.

The structure in CIF format:
```
data_DyHfSi2
_symmetry_space_group_name_H-M 'P m n 21'
_symmetry_Int_Tables_number 31
_symmetry_space_group_name_Hall 'P 2ac -2'
_cell_length_a 3.771
_cell_length_b 7.480
_cell_length_c 5.435
_cell_angle_alpha 90.00
_cell_angle_beta 90.00
_cell_angle_gamma 90.00
loop_
_atom_site_label
_atom_site_type_symbol
_atom_site_fract_x
_atom_site_fract_y
_atom_site_fract_z
Dy1 Dy 0.000 0.074 0.000
Hf1 Hf 0.000 0.566 0.259
Si1 Si 0.000 0.226 0.514
Si2 Si 0.000 0.696 0.741
```

Model 2:
First-principles (PBE) data for a relaxed structure of DyHfSi2, as listed in OQMD via LeMat-Bulk.

Computed properties:
The value obtained for the total magnetization is 0.00 μB per cell. As for the crystal system: monoclinic.

The structure in CIF format:
```
data_DyHfSi2
_symmetry_space_group_name_H-M 'P 1 21/m 1'
_symmetry_Int_Tables_number 11
_symmetry_space_group_name_Hall '-P 2yb'
_cell_length_a 5.491
_cell_length_b 3.784
_cell_length_c 7.376
_cell_angle_alpha 90.00
_cell_angle_beta 91.56
_cell_angle_gamma 90.00
loop_
_atom_site_label
_atom_site_type_symbol
_atom_site_fract_x
_atom_site_fract_y
_atom_site_fract_z
Dy1 Dy 0.125 0.250 0.181
Hf1 Hf 0.385 0.250 0.675
Si1 Si 0.143 0.750 0.467
Si2 Si 0.368 0.750 0.954
```

Energy ordering: model 1 at the bottom, the next structure 29 meV/atom above.

Model 1:
First-principles (PBE) data for a relaxed structure of Dy3Hg5, as listed in OQMD via LeMat-Bulk.

Computed properties:
The value obtained for the total magnetization is 0.01 μB per cell. As for the crystal system: orthorhombic.

The structure in CIF format:
```
data_Dy3Hg5
_symmetry_space_group_name_H-M 'A m m 2'
_symmetry_Int_Tables_number 38
_symmetry_space_group_name_Hall 'A 2 -2'
_cell_length_a 5.117
_cell_length_b 7.383
_cell_length_c 10.395
_cell_angle_alpha 90.00
_cell_angle_beta 90.00
_cell_angle_gamma 90.00
loop_
_atom_site_label
_atom_site_type_symbol
_atom_site_fract_x
_atom_site_fract_y
_atom_site_fract_z
Dy1 Dy 0.000 0.000 0.000
Dy2 Dy 0.000 0.000 0.438
Dy3 Dy 0.500 0.000 0.698
Hg1 Hg 0.000 0.219 0.722
Hg2 Hg 0.500 0.000 0.203
Hg3 Hg 0.500 0.246 0.948
```

Model 2:
First-principles (PBE) data for a relaxed structure of Dy3Hg5, as listed in OQMD via LeMat-Bulk.

Computed properties:
The value obtained for the total magnetization is 0.01 μB per cell. As for the crystal system: orthorhombic.

The structure in CIF format:
```
data_Dy3Hg5
_symmetry_space_group_name_H-M 'C m m m'
_symmetry_Int_Tables_number 65
_symmetry_space_group_name_Hall '-C 2 2'
_cell_length_a 7.741
_cell_length_b 10.123
_cell_length_c 5.055
_cell_angle_alpha 90.00
_cell_angle_beta 90.00
_cell_angle_gamma 90.00
loop_
_atom_site_label
_atom_site_type_symbol
_atom_site_fract_x
_atom_site_fract_y
_atom_site_fract_z
Dy1 Dy 0.000 0.000 0.000
Dy2 Dy 0.000 0.285 0.500
Hg1 Hg 0.000 0.500 0.000
Hg2 Hg 0.217 0.000 0.500
Hg3 Hg 0.250 0.250 0.000
```

Energy ordering: model 2 at the bottom, the next structure 6 meV/atom above.